## La4NdHo4 (GGA-PBE)

Data for a geometry-optimized La4NdHo4 structure.

## Properties
E above lowest polymorph   0 meV/atom
ΔH_f (0 K)   0.03 eV per atom
VASP energy   -4.73 eV per atom
DOS(E_F)   1.62 states/eV per atom

abc: 10.906 10.906 5.163
angles: 90.00 90.00 90.00
Space group I4/mmm (No. 139)
Unique sites:
La 0.000 0.331 0.000
Nd 0.000 0.000 0.000
Ho 0.165 0.165 0.500